The following is a DFT calculation (GGA-PBE) of a relaxed structure of Hf2ZrAl3CoIr2.

```
Hf2ZrAl3CoIr2
1.0
3.4617 0.0000 0.0000
0.0000 6.1588 3.5331
0.0000 -6.1588 3.5331
Hf Zr Al Co Ir
2 1 3 1 2
direct
0.0000 0.2006 0.7994
0.0000 0.7994 0.2006
0.0000 0.6023 0.6023
0.5000 0.1998 0.4466
0.5000 0.4466 0.1998
0.5000 0.9529 0.9529
0.0000 0.1980 0.1980
0.5000 0.5326 0.8701
0.5000 0.8701 0.5326
```

Output
- Calculated total energy: -71.77 eV/cell
- Total magnetization: 0.01 Bohr magnetons per cell